Entry 1:
Crystalline Y2Se2O at its relaxed geometry. Source: Alexandria, functional PBE.

Geometry as POSCAR:
```
Y2Se2O
1.0
-2.6573 2.4048 0.2815
-1.5893 -4.0171 -3.6392
-4.3435 -5.7668 8.2625
Y Se O
4 4 2
direct
0.2127 0.4254 0.1273
0.0432 0.0864 0.8935
0.7873 0.5746 0.6273
0.9568 0.9136 0.3935
0.9194 0.8387 0.1368
0.3367 0.6734 0.8323
0.0806 0.1613 0.6368
0.6633 0.3266 0.3323
0.6283 0.2565 0.9954
0.3717 0.7435 0.4954
```

symmetry	Cmc2_1
energy relative to the lowest polymorph listed for this composition	0.191	eV/atom
E_form (uncorrected)	-2.247	eV per atom

Entry 2:
Crystalline Pr3TmAs4 at its relaxed geometry. Source: Alexandria, functional PBE.

Geometry as POSCAR:
```
Pr3TmAs4
1.0
6.0132 0.0000 0.0000
0.0000 6.0132 0.0000
0.0000 0.0000 6.0132
Pr As Tm
3 4 1
direct
0.0000 0.5000 0.5000
0.5000 0.0000 0.5000
0.5000 0.5000 0.0000
0.5000 0.0000 0.0000
0.0000 0.5000 0.0000
0.0000 0.0000 0.5000
0.5000 0.5000 0.5000
0.0000 0.0000 0.0000
```

energy relative to the elements	-142.1	kJ per mole of atoms
symmetry	Pm-3m
energy relative to the lowest polymorph listed for this composition	0.011	eV/atom

Entry 3:
Crystalline Cs2AuBr at its relaxed geometry. Source: Alexandria, functional PBE.

Geometry as POSCAR:
```
Cs2AuBr
1.0
-3.1857 2.3823 3.1839
-0.4353 -1.5808 4.8242
5.3815 5.8417 5.0905
Cs Au Br
2 1 1
direct
0.0834 0.0834 0.7497
0.2500 0.2500 0.2501
0.6670 0.6670 0.9991
0.4996 0.4996 0.5011
```

symmetry	R3m
energy relative to the lowest polymorph listed for this composition	0.021	eV/atom
E_form (uncorrected)	-1.032	eV per atom

Entry 4:
Crystalline MgCd2Cu at its relaxed geometry. Source: Alexandria, functional PBE.

Geometry as POSCAR:
```
MgCd2Cu
1.0
-0.4703 -3.5773 -2.2339
3.5274 0.8887 -2.1657
2.2631 -2.0691 2.8369
Cd Cu Mg
2 1 1
direct
0.0000 0.0000 0.0000
0.5000 0.5000 0.0000
0.5000 0.0000 0.5000
0.0000 0.5000 0.5000
```

energy relative to the elements	0.5	kJ per mole of atoms
symmetry	Pmmm

Entry 5:
Crystalline ScTiZn2Ga at its relaxed geometry. Source: Alexandria, functional PBE.

Geometry as POSCAR:
```
ScTiZn2Ga
1.0
-2.9245 -2.2599 3.5249
-2.5699 -1.9094 -3.3563
3.0863 -4.0691 -0.0482
Sc Zn Ga Ti
1 2 1 1
direct
0.0000 0.0000 0.0000
0.0000 0.0000 0.5000
0.5000 0.0000 0.0000
0.5000 0.5000 0.5000
0.0000 0.5000 0.0000
```

energy relative to the elements	94.9	kJ per mole of atoms
symmetry	P4/mmm
energy relative to the lowest polymorph listed for this composition	0.047	eV/atom

Entry 6:
Crystalline Tl2SiAu at its relaxed geometry. Source: Alexandria, functional PBE.

Geometry as POSCAR:
```
Tl2SiAu
1.0
8.3515 0.0716 0.0429
7.4912 3.6925 0.0429
7.4912 1.7799 3.2355
Au Si Tl
1 1 2
direct
0.7500 0.7500 0.7500
0.2500 0.2500 0.2500
0.9995 0.9995 0.9995
0.5005 0.5005 0.5005
```

symmetry	R-3m
energy relative to the lowest polymorph listed for this composition	0.332	eV/atom
E_form (uncorrected)	0.359	eV per atom

Entry 7:
Crystalline SrP2Ru at its relaxed geometry. Source: Alexandria, functional PBE.

Geometry as POSCAR:
```
SrP2Ru
1.0
4.0958 0.0000 0.0000
0.0000 3.6120 0.0007
0.0000 -0.0012 5.6064
P Ru Sr
2 1 1
direct
0.0000 0.2501 0.0463
0.0000 0.2499 0.4537
0.5000 0.2500 0.2500
0.5000 0.7500 0.7500
```

energy relative to the elements	-40.2	kJ per mole of atoms
symmetry	Pmmm
energy relative to the lowest polymorph listed for this composition	0.274	eV/atom

Entry 8:
Crystalline RbPuIn2Cl6 at its relaxed geometry. Source: Alexandria, functional PBE.

Geometry as POSCAR:
```
RbPuIn2Cl6
1.0
-4.9955 2.4729 5.6167
0.5438 -2.8888 7.3472
2.8332 4.8527 5.9694
Rb Pu In Cl
1 1 2 6
direct
0.8098 0.8102 0.5696
0.3218 0.3217 0.0346
0.5250 0.5251 0.4251
0.0178 0.0181 0.9461
0.5663 0.2031 0.2436
0.2028 0.9869 0.2444
0.9866 0.5671 0.2435
0.4084 0.6750 0.7689
0.6756 0.1461 0.7700
0.1473 0.4084 0.7694
```

symmetry	P1
E_form (uncorrected)	-1.496	eV per atom

Entry 9:
Crystalline LiCe2Zr3N6 at its relaxed geometry. Source: Alexandria, functional PBE.

Geometry as POSCAR:
```
LiCe2Zr3N6
1.0
3.3305 0.0000 0.0000
0.0000 6.8418 0.1239
-1.6652 -2.0973 7.0081
Li Ce Zr N
1 2 3 6
direct
0.5000 0.0000 0.0000
0.8393 0.6799 0.6786
0.1607 0.3201 0.3214
0.5000 0.5000 0.0000
0.8391 0.1671 0.6783
0.1609 0.8329 0.3217
0.3297 0.9309 0.6594
0.6608 0.5984 0.3215
0.6703 0.0691 0.3406
0.9962 0.2706 0.9925
0.0038 0.7294 0.0075
0.3392 0.4016 0.6785
```

symmetry	C2/m
E_form (uncorrected)	-1.503	eV per atom

Entry 10:
Crystalline FeSi3Ni12 at its relaxed geometry. Source: Alexandria, functional PBE.

Geometry as POSCAR:
```
FeSi3Ni12
1.0
3.5193 0.0000 0.0000
0.0000 3.5193 0.0000
0.0000 0.0000 14.0325
Fe Si Ni
1 3 12
direct
0.0000 0.0000 0.0000
0.0000 0.0000 0.2504
0.0000 0.0000 0.5000
0.0000 0.0000 0.7496
0.5000 0.5000 0.0000
0.5000 0.5000 0.2519
0.5000 0.5000 0.5000
0.5000 0.5000 0.7481
0.5000 0.0000 0.1269
0.5000 0.0000 0.3755
0.5000 0.0000 0.6245
0.5000 0.0000 0.8731
0.0000 0.5000 0.1269
0.0000 0.5000 0.3755
0.0000 0.5000 0.6245
0.0000 0.5000 0.8731
```

symmetry	P4/mmm
E_form (uncorrected)	-0.350	eV per atom

Entry 11:
Crystalline Na2VPtN at its relaxed geometry. Source: Alexandria, functional PBE.

Geometry as POSCAR:
```
Na2VPtN
1.0
5.8595 0.0000 0.0000
0.0000 4.6306 0.0000
0.0000 0.0000 5.8595
Na N Pt V
2 1 1 1
direct
0.0000 0.0000 0.5000
0.5000 0.0000 0.0000
0.5000 0.5000 0.5000
0.0000 0.5000 0.0000
0.0000 0.0000 0.0000
```

symmetry	P4/mmm
E_form (uncorrected)	1.578	eV per atom

Entry 12:
Crystalline Cr2Co2Cu at its relaxed geometry. Source: Alexandria, functional PBE.

Geometry as POSCAR:
```
Cr2Co2Cu
1.0
6.7927 0.0000 0.0000
0.0000 6.7927 0.0000
0.0000 0.0000 2.5074
Cr Co Cu
4 4 2
direct
0.1686 0.6686 0.5000
0.6686 0.8314 0.5000
0.8314 0.3314 0.5000
0.3314 0.1686 0.5000
0.3736 0.8736 0.0000
0.8736 0.6264 0.0000
0.6264 0.1264 0.0000
0.1264 0.3736 0.0000
0.0000 0.0000 0.0000
0.5000 0.5000 0.0000
```

energy relative to the elements	18.9	kJ per mole of atoms
symmetry	P4/mbm
energy relative to the lowest polymorph listed for this composition	0.000	eV/atom

no.,energy (eV/atom),calculated volume (Å³ per atom)
1,-7.22,21.122
2,-6.15,27.179
3,-2.70,50.383
4,-1.88,18.762
5,-2.98,24.199
6,-3.00,24.202
7,-5.86,20.735
8,-4.68,36.849
9,-8.95,13.380
10,-6.23,10.862
11,-3.65,31.797
12,-7.32,11.570